Entry 1:
MnCrRe2 | PBEsol | optimized geometry

Unit cell a=2.6621 b=3.6279 c=5.3279 alpha=90.00 beta=90.00 gamma=90.00
Last column: nearest neighbours and their distance in Å.
Atoms (fractional coordinates):
Cr 0.5000 0.5000 0.0000  8 Re 2.62, 2 Cr 2.66, 2 Mn 2.66
Mn 0.5000 0.5000 0.5000  8 Re 2.61, 2 Mn 2.66, 2 Cr 2.66
Re 0.0000 0.0000 0.7471  4 Mn 2.61, 4 Cr 2.62, 4 Re 2.63-2.70
Re 0.0000 0.0000 0.2529  4 Mn 2.61, 4 Cr 2.62, 4 Re 2.63-2.70

calculated density = 15.47 g/cm³
E = -11.507 eV/atom
total moment = 0.02 μB per formula unit
formation energy = 0.159 eV per atom
DOS at the Fermi energy = 4.428 states/eV/f.u.

Entry 2:
MnCrRe | PBEsol | optimized geometry

Unit cell a=2.5663 b=2.5663 c=6.1697 alpha=98.20 beta=98.20 gamma=108.34
Last column: nearest neighbours and their distance in Å.
Atoms (fractional coordinates):
Cr 0.9936 0.9936 0.9873  2 Mn 2.38, 2 Re 2.56, 4 Cr 2.57
Mn 0.3395 0.3395 0.6790  2 Cr 2.38, 2 Re 2.55, 4 Mn 2.57
Re 0.6669 0.6669 0.3337  2 Mn 2.55, 2 Cr 2.56, 4 Re 2.57

calculated density = 13.01 g/cm³
E = -10.966 eV/atom
total moment = 1.61 μB per formula unit
formation energy = 0.146 eV per atom
DOS at the Fermi energy = 2.785 states/eV/f.u.
relative energy among the computed polymorphs = 0.000 eV per atom